{
  "formula": "Ca3SN",
  "functional": "PBE",
  "state": "optimized geometry",
  "cell": [[6.460, -5.606, 0.000], [6.460, 5.606, 0.000], [-0.936, 0.000, 6.537]],
  "species": ["Ca", "Ca", "Ca", "Ca", "Ca", "Ca", "Ca", "Ca", "Ca", "Ca", "Ca", "Ca", "S", "S", "S", "S", "N", "N", "N", "N"],
  "frac_coords": [[0.063, 0.208, 0.136], [0.104, 0.612, 0.405], [0.208, 0.063, 0.636], [0.289, 0.413, 0.824], [0.388, 0.896, 0.095], [0.413, 0.289, 0.324], [0.587, 0.711, 0.676], [0.612, 0.104, 0.905], [0.711, 0.587, 0.176], [0.792, 0.937, 0.364], [0.896, 0.388, 0.595], [0.937, 0.792, 0.864], [0.098, 0.902, 0.250], [0.265, 0.735, 0.750], [0.735, 0.265, 0.250], [0.902, 0.098, 0.750], [0.168, 0.332, 0.489], [0.332, 0.168, 0.989], [0.668, 0.832, 0.011], [0.832, 0.668, 0.511]],
  "dos_ef_per_ev_fu": 0.96,
  "e_tot_ev_per_cell": -98.47,
  "formation_energy_uncorrected_ev_per_atom": -1.232,
  "polymorph_energy_mev_per_atom": 0
}